1.
! GGA-PBE NaYAgSe2, relaxed; values from VASP
&SYSTEM
  ibrav = 0, nat = 10, ntyp = 4
/
ATOMIC_SPECIES
Na 22.99 Na.upf
Y 88.91 Y.upf
Ag 107.87 Ag.upf
Se 78.96 Se.upf
ATOMIC_POSITIONS angstrom
Na -0.2915 0.6057 1.9333
Na -0.8746 4.4166 5.7999
Y 2.6493 2.4824 5.7999
Y 3.2323 2.5399 1.9333
Ag 3.5239 0.0000 0.0000
Ag 2.9408 0.0000 3.8666
Se 0.4587 1.7887 7.4636
Se 1.0418 3.2336 3.5970
Se 4.8398 1.7887 4.1363
Se 5.4229 3.2336 0.2697
CELL_PARAMETERS angstrom
7.0477 0.0000 0.0000
0.0000 5.0223 0.0000
-1.1661 0.0000 7.7332
! - density of states at the Fermi level (states/eV/atom) = 0.4377
! - calculated total energy (eV per atom) = -4.47
! - total moment (μB per cell) = 0.0
! - density (g/cm³) = 4.58
! - crystal system = monoclinic
! - formation energy (no corrections) (meV/atom) = -951

2.
! GGA-PBE RbHo4S6, relaxed; values from VASP
&SYSTEM
  ibrav = 0, nat = 22, ntyp = 3
/
ATOMIC_SPECIES
Rb 85.47 Rb.upf
Ho 164.93 Ho.upf
S 32.06 S.upf
ATOMIC_POSITIONS angstrom
Rb 1.9743 4.5794 15.7643
Rb 1.9743 -4.5794 5.2548
Ho 1.9743 5.2644 2.7924
Ho 1.9743 5.2644 7.7171
Ho 1.9743 1.7250 0.8480
Ho 1.9743 1.7250 9.6616
Ho 1.9743 -1.7250 11.3575
Ho 1.9743 -1.7250 20.1711
Ho 1.9743 -5.2644 13.3019
Ho 1.9743 -5.2644 18.2266
S 0.0000 0.0000 0.0000
S 0.0000 0.0000 10.5095
S 1.9743 4.5457 5.2548
S 1.9743 3.0168 12.1643
S 1.9743 3.0168 19.3643
S 1.9743 0.4416 3.1295
S 1.9743 0.4416 7.3800
S 1.9743 -0.4416 13.6391
S 1.9743 -0.4416 17.8895
S 1.9743 -3.0168 1.6547
S 1.9743 -3.0168 8.8548
S 1.9743 -4.5457 15.7643
CELL_PARAMETERS angstrom
1.9743 -6.5803 0.0000
1.9743 6.5803 0.0000
0.0000 0.0000 21.0190
! - density of states at the Fermi level (states/eV/atom) = 0.1786
! - calculated total energy (eV per atom) = -5.94
! - total moment (μB per cell) = 0.0
! - density (g/cm³) = 5.70
! - crystal system = orthorhombic
! - formation energy (no corrections) (meV/atom) = -1940